# 1
First-principles (GGA-PBE) data for K2PPd after structural relaxation, as listed in Alexandria.

Properties
The total energy is -3.513 eV/atom. The value obtained for the formation energy is -0.314 eV/atom.

Cell: 12.4296 12.4296 9.0673 Å, 46.73 46.73 90.00°
Fractional positions:
P: 0.5000 0.5000 0.0000
P: 0.2500 0.7500 0.5000
K: 0.8654 0.1250 0.2500
K: 0.8846 0.6250 0.2500
K: 0.3750 0.1346 0.7500
K: 0.8750 0.1154 0.7500
Pd: 0.0000 0.0000 0.0000
Pd: 0.7500 0.2500 0.5000


# 2
First-principles (GGA-PBE) data for YAuSe2 after structural relaxation, as listed in Alexandria.

Properties
The total energy is -4.899 eV/atom. The uncorrected formation energy is -0.722 eV per atom.

Cell: 3.6723 3.6723 7.1184 Å, 90.00 90.00 105.84°
Fractional positions:
Au: 0.5000 0.5000 0.7500
Se: 0.0000 0.0000 0.0010
Se: 0.0000 0.0000 0.4990
Y: 0.5000 0.5000 0.2500


# 3
First-principles (GGA-PBE) data for BaBeCu3 after structural relaxation, as listed in Alexandria.

Properties
The total energy is -1.739 eV/atom. The value obtained for the formation energy is 1.849 eV/atom. The calculation puts the polymorph energy (0 for the lowest one) at 1659 meV per atom.

Cell: 5.6823 5.6823 5.6823 Å, 90.00 90.00 90.00°
Fractional positions:
Be: 0.5000 0.5000 0.5000
Ba: 0.0000 0.0000 0.0000
Cu: 0.0000 0.5000 0.0000
Cu: 0.0000 0.0000 0.5000
Cu: 0.5000 0.0000 0.0000


# 4
First-principles (GGA-PBE) data for ZrPb after structural relaxation, as listed in Alexandria.

Properties
The total energy is -6.142 eV/atom. The value obtained for the formation energy is -0.014 eV/atom.

Cell: 6.0236 6.0236 8.1488 Å, 70.96 70.96 33.15°
Fractional positions:
Zr: 0.6659 0.6659 0.6697
Zr: 0.9449 0.9449 0.6112
Zr: 0.2827 0.2827 0.9574
Pb: 0.0053 0.0053 0.9679
Pb: 0.3238 0.3238 0.3494
Pb: 0.6107 0.6107 0.2778


# 5
First-principles (GGA-PBE) data for Pm2ErTm2Mg5 after structural relaxation, as listed in Alexandria.

Properties
The total energy is -3.055 eV/atom. The value obtained for the formation energy is 0.043 eV/atom.

Cell: 5.0479 10.5666 10.5666 Å, 90.00 90.00 90.00°
Fractional positions:
Pm: 0.0000 0.6775 0.1775
Pm: 0.0000 0.3225 0.8225
Pm: 0.0000 0.1775 0.3225
Pm: 0.0000 0.8225 0.6775
Er: 0.0000 0.0000 0.0000
Er: 0.0000 0.5000 0.5000
Tm: 0.0000 0.1189 0.6189
Tm: 0.0000 0.8811 0.3811
Tm: 0.0000 0.6189 0.8811
Tm: 0.0000 0.3811 0.1189
Mg: 0.5000 0.1985 0.0691
Mg: 0.5000 0.8015 0.9309
Mg: 0.5000 0.0691 0.8015
Mg: 0.5000 0.6985 0.4309
Mg: 0.5000 0.9309 0.1985
Mg: 0.5000 0.3015 0.5691
Mg: 0.5000 0.5691 0.6985
Mg: 0.5000 0.4309 0.3015
Mg: 0.5000 0.5000 0.0000
Mg: 0.5000 0.0000 0.5000


# 6
First-principles (GGA-PBE) data for Ce3Pm4DySe8 after structural relaxation, as listed in Alexandria.

Properties
The total energy is -6.154 eV/atom. The uncorrected formation energy is -1.824 eV per atom.

Cell: 8.3676 8.3665 8.3662 Å, 119.99 120.01 90.00°
Each line ends with the local moment (μB).
Fractional positions:
Ce: 0.5000 0.5000 0.0000  0.75
Ce: 0.5000 0.5000 0.5000  0.75
Ce: 0.0000 0.5000 0.5000  0.75
Pm: 0.5000 0.0000 0.0000  0.03
Pm: 0.5000 0.0000 0.5000  0.00
Pm: 0.0000 0.0000 0.0000  0.00
Pm: 0.0000 0.0000 0.5000  0.00
Dy: 0.0000 0.5000 0.0000  0.03
Se: 0.2462 0.7463 0.0001  -0.01
Se: 0.2463 0.7464 0.4926  -0.01
Se: 0.2498 0.2494 0.4996  -0.01
Se: 0.7539 0.7463 0.0001  -0.01
Se: 0.2461 0.2537 0.9999  -0.01
Se: 0.7502 0.7506 0.5004  -0.01
Se: 0.7537 0.2536 0.5074  -0.01
Se: 0.7538 0.2537 0.9999  -0.01


# 7
First-principles (GGA-PBE) data for Nd2InNi4Sn3 after structural relaxation, as listed in Alexandria.

Properties
The total energy is -5.239 eV/atom. The value obtained for the formation energy is -0.499 eV/atom.

Cell: 4.4276 4.4276 10.3093 Å, 90.00 90.00 90.00°
Fractional positions:
Nd: 0.5000 0.0000 0.2392
Nd: 0.0000 0.5000 0.7608
In: 0.5000 0.5000 0.5000
Ni: 0.5000 0.5000 0.0000
Ni: 0.0000 0.0000 0.0000
Ni: 0.5000 0.0000 0.6332
Ni: 0.0000 0.5000 0.3668
Sn: 0.0000 0.0000 0.5000
Sn: 0.5000 0.0000 0.8754
Sn: 0.0000 0.5000 0.1246


# 8
First-principles (GGA-PBE) data for NaSrNdSn after structural relaxation, as listed in Alexandria.

Properties
The total energy is -3.262 eV/atom. The value obtained for the formation energy is -0.319 eV/atom.

Cell: 5.6433 5.6433 5.6433 Å, 60.00 60.00 60.00°
Fractional positions:
Sr: 0.5000 0.5000 0.5000
Nd: 0.0000 0.0000 0.0000
Sn: 0.2500 0.2500 0.2500
Na: 0.7500 0.7500 0.7500


# 9
First-principles (GGA-PBE) data for KPa2SbO8 after structural relaxation, as listed in Alexandria.

Properties
The total energy is -7.990 eV/atom. The uncorrected formation energy is -2.667 eV per atom.

Cell: 5.0591 5.0560 7.1715 Å, 90.00 90.00 88.12°
Fractional positions:
K: 0.0000 0.0000 0.5000
Pa: 0.5000 0.5000 0.7502
Pa: 0.5000 0.5000 0.2498
Sb: 0.0000 0.0000 0.0000
O: 0.2003 0.7982 0.1976
O: 0.7072 0.7086 0.0000
O: 0.7997 0.2018 0.1976
O: 0.7997 0.2018 0.8024
O: 0.2928 0.2914 0.0000
O: 0.2003 0.7982 0.8024
O: 0.6650 0.6671 0.5000
O: 0.3350 0.3329 0.5000


# 10
First-principles (GGA-PBE) data for In2MoP after structural relaxation, as listed in Alexandria.

Properties
The total energy is -5.457 eV/atom. The value obtained for the formation energy is -0.028 eV/atom.

Cell: 3.1854 3.1854 7.9346 Å, 90.00 90.00 90.00°
Fractional positions:
In: 0.0000 0.0000 0.9579
In: 0.5000 0.5000 0.3009
Mo: 0.0000 0.0000 0.5576
P: 0.5000 0.5000 0.6837


# 11
First-principles (GGA-PBE) data for Pu5Te5O2 after structural relaxation, as listed in Alexandria.

Properties
The total energy is -9.608 eV/atom. The uncorrected formation energy is -1.500 eV per atom.

Cell: 4.0055 7.2897 11.0639 Å, 98.78 90.00 105.95°
Each line ends with the local moment (μB).
Fractional positions:
Pu: 0.0981 0.1962 0.3378  -5.23
Pu: 0.6391 0.2782 0.7954  5.24
Pu: 0.3609 0.7218 0.2046  5.24
Pu: 0.9019 0.8038 0.6622  -5.23
Pu: 0.0000 0.0000 0.0000  5.16
Te: 0.5000 0.0000 0.5000  0.08
Te: 0.6632 0.3264 0.0952  -0.07
Te: 0.7746 0.5493 0.3874  0.02
Te: 0.2254 0.4507 0.6126  0.02
Te: 0.3368 0.6736 0.9048  -0.07
O: 0.0484 0.0969 0.8097  -0.08
O: 0.9516 0.9031 0.1903  -0.08


# 12
First-principles (GGA-PBE) data for Pr5Sm12In2 after structural relaxation, as listed in Alexandria.

Properties
The total energy is -4.548 eV/atom. The value obtained for the formation energy is -0.021 eV/atom.

Cell: 9.4145 12.2865 8.6421 Å, 131.90 90.00 112.53°
Fractional positions:
Pr: 0.3067 0.6133 0.6274
Pr: 0.2325 0.4651 0.8869
Pr: 0.0000 0.0000 0.5000
Pr: 0.7675 0.5349 0.1131
Pr: 0.6933 0.3867 0.3726
Sm: 0.0770 0.1539 0.2700
Sm: 0.0409 0.7126 0.9488
Sm: 0.6718 0.7126 0.9488
Sm: 0.1803 0.7475 0.4200
Sm: 0.5672 0.7475 0.4200
Sm: 0.5542 0.1085 0.7826
Sm: 0.4458 0.8915 0.2174
Sm: 0.8197 0.2525 0.5800
Sm: 0.4328 0.2525 0.5800
Sm: 0.9591 0.2874 0.0512
Sm: 0.3282 0.2874 0.0512
Sm: 0.9230 0.8461 0.7300
In: 0.6762 0.0000 0.0000
In: 0.3238 0.0000 0.0000


One value per record, in order, for DOS(E_F): 0.54, 0.18, 1.17, 0.68, 0.66, 1.35, 0.71, 0.64, 0.00, 0.84, 3.63, 1.32 states/eV/atom.